No. 1
{"formula": "SrSmAgSb", "functional": "PBE-GGA", "state": "relaxed", "e_tot_ev_per_atom": -3.895, "rho_g_cm3": 6.74, "vol_a3_per_cell": 115, "dos_at_fermi_per_ev_fu": 3.66, "raw_formation_energy_ev_per_atom": -0.552, "lattice": [[0.0000, 3.8625, 3.8625], [3.8625, 0.0000, 3.8625], [3.8625, 3.8625, 0.0000]], "species": ["Sr", "Sm", "Ag", "Sb"], "fractional_positions": [[0.0000, 0.0000, 0.0000], [0.5000, 0.5000, 0.5000], [0.7500, 0.7500, 0.7500], [0.2500, 0.2500, 0.2500]]}

***

No. 2
{"formula": "Ca5As4", "functional": "PBE-GGA", "state": "relaxed", "relative_energy_ev_per_fu": 4.39, "e_tot_ev_per_atom": -3.708, "rho_g_cm3": 3.23, "vol_a3_per_cell": 257, "dos_at_fermi_per_ev_fu": 9.33, "lattice": [[-5.1954, 5.1954, 2.3823], [5.1954, -5.1954, 2.3823], [5.1954, 5.1954, -2.3823]], "species": ["Ca", "Ca", "Ca", "Ca", "Ca", "As", "As", "As", "As"], "fractional_positions": [[0.0000, 0.0000, 0.0000], [0.3195, 0.3195, 0.6390], [0.3195, 0.6805, 0.0000], [0.6805, 0.3195, 0.0000], [0.6805, 0.6805, 0.3610], [0.0000, 0.2700, 0.2700], [0.0000, 0.7300, 0.7300], [0.2700, 0.0000, 0.2700], [0.7300, 0.0000, 0.7300]]}

***

No. 3
{"formula": "NdY3Pd12", "functional": "PBE-GGA", "state": "relaxed", "e_tot_ev_per_atom": -6.229, "rho_g_cm3": 9.79, "vol_a3_per_cell": 286, "dos_at_fermi_per_ev_fu": 10.99, "lattice": [[4.1460, 0.0000, 0.0000], [0.0000, 4.1460, 0.0000], [0.0000, 0.0000, 16.6563]], "species": ["Nd", "Y", "Y", "Y", "Pd", "Pd", "Pd", "Pd", "Pd", "Pd", "Pd", "Pd", "Pd", "Pd", "Pd", "Pd"], "fractional_positions": [[0.0000, 0.0000, 0.0000], [0.0000, 0.0000, 0.2524], [0.0000, 0.0000, 0.5000], [0.0000, 0.0000, 0.7476], [0.0000, 0.5000, 0.1285], [0.0000, 0.5000, 0.3760], [0.0000, 0.5000, 0.6240], [0.0000, 0.5000, 0.8715], [0.5000, 0.0000, 0.1285], [0.5000, 0.0000, 0.3760], [0.5000, 0.0000, 0.6240], [0.5000, 0.0000, 0.8715], [0.5000, 0.5000, 0.0000], [0.5000, 0.5000, 0.2519], [0.5000, 0.5000, 0.5000], [0.5000, 0.5000, 0.7481]]}

***

No. 4
{"formula": "LiTi2CdCl", "functional": "PBE-GGA", "state": "relaxed", "e_tot_ev_per_atom": -3.360, "rho_g_cm3": 3.94, "vol_a3_per_cell": 105, "dos_at_fermi_per_ev_fu": 7.05, "raw_formation_energy_ev_per_atom": 0.733, "lattice": [[4.7723, 0.0000, 0.0000], [0.0000, 4.7723, 0.0000], [0.0000, 0.0000, 4.6317]], "species": ["Li", "Ti", "Ti", "Cd", "Cl"], "fractional_positions": [[0.0000, 0.0000, 0.0000], [0.0000, 0.5000, 0.0000], [0.5000, 0.0000, 0.0000], [0.0000, 0.0000, 0.5000], [0.5000, 0.5000, 0.5000]]}